1.
A geometry-optimized Ba2In4Pt3Rh structure, computed with PBE.

Output
* calculated formation energy: -0.6173 eV/atom
* spin magnetization: 0.00 μB per formula unit

Cell lengths 4.721, 4.721, 11.112 Å; angles 90.00, 90.00, 90.00 degrees
Space group P-4m2 (No. 115)
Inequivalent atoms, fractional coordinates:
Ba: 0.000 0.500 0.238 (multiplicity 2)
In: 0.000 0.000 0.500 (multiplicity 1)
In: 0.000 0.500 0.879 (multiplicity 2)
In: 0.500 0.500 0.500 (multiplicity 1)
Pt: 0.000 0.000 0.000 (multiplicity 1)
Pt: 0.000 0.500 0.632 (multiplicity 2)
Rh: 0.500 0.500 0.000 (multiplicity 1)


2.
A geometry-optimized Rb2CdF structure, computed with PBE.

Output
* formation energy from raw total energies: -1204 meV/atom
* spin magnetization: 0.00 μB per formula unit

Cell lengths 3.649, 3.649, 9.294 Å; angles 90.00, 90.00, 90.00 degrees
Space group P4/mmm (No. 123)
Inequivalent atoms, fractional coordinates:
Rb: 0.000 0.000 0.184 (multiplicity 2)
Cd: 0.500 0.500 0.500 (multiplicity 1)
F: 0.500 0.500 0.000 (multiplicity 1)